DFT (PBE) results for crystalline LaSmAgRu at its relaxed geometry.

Cell and atoms, written as POSCAR:
```
LaSmAgRu
1.0
0.000 3.628 3.628
3.628 0.000 3.628
3.628 3.628 0.000
La Sm Ag Ru
1 1 1 1
Direct
0.000 0.000 0.000
0.500 0.500 0.500
0.250 0.250 0.250
0.750 0.750 0.750
```

Output
Magnetic moment   0.000 μB/atom
E_form   -0.87 eV per formula unit
N(E_F)   0.667 states/eV per atom



DFT (PBE) results for crystalline La2AgSnRu at its relaxed geometry.

Cell and atoms, written as POSCAR:
```
La2AgSnRu
1.0
5.472 0.000 0.000
0.000 5.472 0.000
0.000 0.000 5.099
La Ag Sn Ru
2 1 1 1
Direct
0.000 0.500 0.000
0.500 0.000 0.000
0.000 0.000 0.500
0.500 0.500 0.500
0.500 0.500 0.000
```

Output
Magnetic moment   0.000 μB/atom
E_form   -1.45 eV per formula unit
N(E_F)   0.578 states/eV per atom



DFT (PBE) results for crystalline LaTbAgRu at its relaxed geometry.

Cell and atoms, written as POSCAR:
```
LaTbAgRu
1.0
0.000 3.603 3.603
3.603 0.000 3.603
3.603 3.603 0.000
La Tb Ag Ru
1 1 1 1
Direct
0.000 0.000 0.000
0.500 0.500 0.500
0.750 0.750 0.750
0.250 0.250 0.250
```

Output
Magnetic moment   0.000 μB/atom
E_form   -0.97 eV per formula unit
N(E_F)   0.780 states/eV per atom
Excess energy over the best structure of this formula in the dataset   73.6 meV/atom



DFT (PBE) results for crystalline LaTbAgRu at its relaxed geometry.

Cell and atoms, written as POSCAR:
```
LaTbAgRu
1.0
3.489 0.000 0.000
0.000 3.489 0.000
0.000 0.000 7.781
La Tb Ag Ru
1 1 1 1
Direct
0.000 0.000 0.000
0.000 0.000 0.555
0.500 0.500 0.301
0.500 0.500 0.765
```

Output
Magnetic moment   0.000 μB/atom
E_form   -1.27 eV per formula unit
N(E_F)   0.682 states/eV per atom
Excess energy over the best structure of this formula in the dataset   0.0 meV/atom



DFT (PBE) results for crystalline LaAgTe2Ru at its relaxed geometry.

Cell and atoms, written as POSCAR:
```
LaAgTe2Ru
1.0
5.359 0.000 0.000
0.000 5.359 0.000
0.000 0.000 5.499
La Ag Te Ru
1 1 2 1
Direct
0.000 0.000 0.000
0.000 0.000 0.500
0.000 0.500 0.500
0.500 0.000 0.500
0.500 0.500 0.000
```

Output
Magnetic moment   0.504 μB/atom
Formation energy from raw total energies   0.79 eV/atom
N(E_F)   1.354 states/eV per atom



DFT (PBE) results for crystalline LaThAgRu at its relaxed geometry.

Cell and atoms, written as POSCAR:
```
LaThAgRu
1.0
0.000 3.658 3.658
3.658 0.000 3.658
3.658 3.658 0.000
La Th Ag Ru
1 1 1 1
Direct
0.000 0.000 0.000
0.500 0.500 0.500
0.250 0.250 0.250
0.750 0.750 0.750
```

Output
Magnetic moment   0.000 μB/atom
E_form   -0.67 eV per formula unit
N(E_F)   1.228 states/eV per atom



DFT (PBE) results for crystalline La2YAgRu at its relaxed geometry.

Cell and atoms, written as POSCAR:
```
La2YAgRu
1.0
5.426 0.000 0.000
0.000 5.426 0.000
0.000 0.000 5.449
La Y Ag Ru
2 1 1 1
Direct
0.000 0.500 0.000
0.500 0.000 0.000
0.000 0.000 0.500
0.500 0.500 0.500
0.000 0.000 0.000
```

Output
Magnetic moment   0.000 μB/atom
E_form   -0.52 eV per formula unit
N(E_F)   1.127 states/eV per atom



DFT (PBE) results for crystalline LaY2AgRu at its relaxed geometry.

Cell and atoms, written as POSCAR:
```
LaY2AgRu
1.0
5.394 0.000 0.000
0.000 5.394 0.000
0.000 0.000 5.309
La Y Ag Ru
1 2 1 1
Direct
0.000 0.000 0.000
0.000 0.500 0.500
0.500 0.000 0.500
0.500 0.500 0.000
0.000 0.000 0.500
```

Output
Magnetic moment   0.000 μB/atom
E_form   -0.36 eV per formula unit
N(E_F)   0.917 states/eV per atom



DFT (PBE) results for crystalline LaAgS2 at its relaxed geometry.

Cell and atoms, written as POSCAR:
```
LaAgS2
1.0
5.985 0.000 0.000
0.000 4.269 0.000
-1.862 0.000 7.029
La Ag S
2 2 4
Direct
0.168 0.250 0.290
0.832 0.750 0.710
0.334 0.250 0.813
0.666 0.750 0.187
0.230 0.750 0.044
0.270 0.750 0.578
0.730 0.250 0.422
0.770 0.250 0.956
```

Output
Magnetic moment   0.000 μB/atom
Formation energy from raw total energies   -1.36 eV/atom
N(E_F)   0.000 states/eV per atom



DFT (PBE) results for crystalline LaAgS2 at its relaxed geometry.

Cell and atoms, written as POSCAR:
```
LaAgS2
1.0
5.489 -5.375 0.000
5.489 5.375 0.000
-4.396 0.000 13.227
La Ag S
8 8 16
Direct
0.173 0.691 0.614
0.296 0.315 0.854
0.309 0.827 0.886
0.315 0.296 0.354
0.685 0.704 0.646
0.691 0.173 0.114
0.704 0.685 0.146
0.827 0.309 0.386
0.067 0.776 0.364
0.204 0.436 0.127
0.224 0.933 0.136
0.436 0.204 0.627
0.564 0.796 0.373
0.776 0.067 0.864
0.796 0.564 0.873
0.933 0.224 0.636
0.002 0.998 0.250
0.015 0.548 0.766
0.145 0.302 0.519
0.302 0.145 0.019
0.317 0.634 0.030
0.366 0.683 0.470
0.452 0.985 0.734
0.460 0.540 0.750
0.540 0.460 0.250
0.548 0.015 0.266
0.634 0.317 0.530
0.683 0.366 0.970
0.698 0.855 0.981
0.855 0.698 0.481
0.985 0.452 0.234
0.998 0.002 0.750
```

Output
Magnetic moment   0.000 μB/atom
Formation energy from raw total energies   -1.32 eV/atom
N(E_F)   0.000 states/eV per atom



DFT (PBE) results for crystalline LaAgS2 at its relaxed geometry.

Cell and atoms, written as POSCAR:
```
LaAgS2
1.0
1.975 -11.659 0.000
1.975 11.659 0.000
0.000 0.000 4.403
La Ag S
2 2 4
Direct
0.174 0.826 0.750
0.826 0.174 0.250
0.461 0.539 0.750
0.539 0.461 0.250
0.299 0.701 0.750
0.417 0.583 0.250
0.583 0.417 0.750
0.701 0.299 0.250
```

Output
Magnetic moment   0.000 μB/atom
Formation energy from raw total energies   -1.35 eV/atom
N(E_F)   0.007 states/eV per atom



DFT (PBE) results for crystalline LaAgS2 at its relaxed geometry.

Cell and atoms, written as POSCAR:
```
LaAgS2
1.0
4.132 0.000 0.000
0.000 4.132 0.000
0.000 0.000 5.606
La Ag S
1 1 2
Direct
0.000 0.000 0.000
0.500 0.500 0.500
0.000 0.000 0.500
0.500 0.500 0.000
```

Output
Magnetic moment   0.000 μB/atom
Formation energy from raw total energies   -1.28 eV/atom
N(E_F)   0.115 states/eV per atom



DFT (PBE) results for crystalline LaAgS2 at its relaxed geometry.

Cell and atoms, written as POSCAR:
```
LaAgS2
1.0
4.338 0.000 0.000
0.465 5.971 0.000
0.838 2.014 6.989
La Ag S
2 2 4
Direct
0.000 0.000 0.000
0.480 0.344 0.407
0.047 0.836 0.555
0.451 0.504 0.862
0.016 0.444 0.128
0.463 0.900 0.277
0.540 0.944 0.747
0.939 0.400 0.658
```

Output
Magnetic moment   0.000 μB/atom
Formation energy from raw total energies   -1.37 eV/atom
N(E_F)   0.000 states/eV per atom



DFT (PBE) results for crystalline LaAgS2 at its relaxed geometry.

Cell and atoms, written as POSCAR:
```
LaAgS2
1.0
8.343 0.000 0.000
0.000 9.261 0.000
0.000 0.000 5.716
La Ag S
4 4 8
Direct
0.106 0.141 0.000
0.394 0.641 0.500
0.606 0.359 0.000
0.894 0.859 0.500
0.095 0.640 0.995
0.405 0.140 0.495
0.595 0.860 0.995
0.905 0.360 0.495
0.068 0.607 0.501
0.082 0.116 0.500
0.418 0.616 0.000
0.432 0.107 0.001
0.568 0.893 0.501
0.582 0.384 0.500
0.918 0.884 0.000
0.932 0.393 0.001
```

Output
Magnetic moment   0.000 μB/atom
Formation energy from raw total energies   -1.28 eV/atom
N(E_F)   0.000 states/eV per atom



DFT (PBE) results for crystalline LaAgS2 at its relaxed geometry.

Cell and atoms, written as POSCAR:
```
LaAgS2
1.0
6.202 0.000 0.000
0.000 4.361 0.000
0.000 0.000 14.721
La Ag S
4 4 8
Direct
0.249 0.250 0.088
0.251 0.750 0.588
0.749 0.250 0.412
0.751 0.750 0.912
0.249 0.750 0.287
0.251 0.250 0.787
0.749 0.750 0.213
0.751 0.250 0.713
0.001 0.750 0.750
0.250 0.250 0.471
0.250 0.750 0.971
0.499 0.250 0.250
0.501 0.750 0.750
0.750 0.250 0.029
0.750 0.750 0.529
0.999 0.250 0.250
```

Output
Magnetic moment   0.000 μB/atom
Formation energy from raw total energies   -1.13 eV/atom
N(E_F)   0.167 states/eV per atom



DFT (PBE) results for crystalline LaAgS2 at its relaxed geometry.

Cell and atoms, written as POSCAR:
```
LaAgS2
1.0
6.670 -1.995 0.000
6.670 1.995 0.000
-1.605 0.000 6.897
La Ag S
2 2 4
Direct
0.000 0.000 0.000
0.203 0.203 0.608
0.454 0.454 0.482
0.789 0.789 0.206
0.342 0.342 0.010
0.603 0.603 0.300
0.606 0.606 0.810
0.859 0.859 0.597
```

Output
Magnetic moment   0.000 μB/atom
Formation energy from raw total energies   -1.38 eV/atom
N(E_F)   0.000 states/eV per atom



DFT (PBE) results for crystalline LaAgS2 at its relaxed geometry.

Cell and atoms, written as POSCAR:
```
LaAgS2
1.0
14.276 0.000 0.000
0.000 4.333 0.000
0.000 0.000 6.695
La Ag S
4 4 8
Direct
0.137 0.250 0.019
0.363 0.750 0.519
0.637 0.250 0.481
0.863 0.750 0.981
0.061 0.750 0.605
0.439 0.250 0.105
0.561 0.750 0.895
0.939 0.250 0.395
0.034 0.750 0.227
0.212 0.750 0.799
0.288 0.250 0.299
0.466 0.250 0.727
0.534 0.750 0.273
0.712 0.750 0.701
0.788 0.250 0.201
0.966 0.250 0.773
```

Output
Magnetic moment   0.000 μB/atom
Formation energy from raw total energies   -1.39 eV/atom
N(E_F)   0.000 states/eV per atom



DFT (PBE) results for crystalline LaAg2S at its relaxed geometry.

Cell and atoms, written as POSCAR:
```
LaAg2S
1.0
-4.207 4.207 2.760
4.207 -4.207 2.760
4.207 4.207 -2.760
La Ag S
2 4 2
Direct
0.000 0.000 0.000
0.750 0.250 0.500
0.172 0.625 0.047
0.375 0.422 0.547
0.578 0.125 0.953
0.875 0.828 0.453
0.250 0.750 0.500
0.500 0.500 0.000
```

Output
Magnetic moment   0.000 μB/atom
Formation energy from raw total energies   -0.50 eV/atom
N(E_F)   0.662 states/eV per atom



DFT (PBE) results for crystalline LaAgS2 at its relaxed geometry.

Cell and atoms, written as POSCAR:
```
LaAgS2
1.0
2.035 1.175 6.586
-2.035 1.175 6.586
0.000 -2.350 6.586
La Ag S
1 1 2
Direct
0.000 0.000 0.000
0.176 0.176 0.176
0.579 0.579 0.579
0.752 0.752 0.752
```

Output
Magnetic moment   0.000 μB/atom
Formation energy from raw total energies   -1.21 eV/atom



DFT (PBE) results for crystalline LaAgS2 at its relaxed geometry.

Cell and atoms, written as POSCAR:
```
LaAgS2
1.0
8.334 0.000 0.000
0.000 7.122 0.000
0.000 0.000 6.270
La Ag S
4 4 8
Direct
0.125 0.249 0.000
0.375 0.749 0.500
0.625 0.251 0.000
0.875 0.751 0.500
0.125 0.748 0.026
0.375 0.248 0.526
0.625 0.752 0.026
0.875 0.252 0.526
0.125 0.003 0.364
0.125 0.491 0.368
0.375 0.503 0.864
0.375 0.991 0.868
0.625 0.009 0.368
0.625 0.497 0.364
0.875 0.509 0.868
0.875 0.997 0.864
```

Output
Magnetic moment   0.000 μB/atom
Formation energy from raw total energies   -1.28 eV/atom
N(E_F)   0.000 states/eV per atom